First-principles (GGA+U) data for a geometry-optimized LiWF6 structure, as listed in the Alexandria database.

Calculated values
- Electronic total energy: -5.353 eV per atom
- Calculated density: 4.5 g/cm³
- Excess energy over the best structure of this formula in the dataset: 0 meV per atom

Cell lengths 5.2384, 5.2709, 5.5529 Å; angles 63.03, 61.95, 60.67 degrees
Space group P-1 (No. 2)
Unique sites:
Li 0.0000 0.0000 0.0000
W 0.5000 0.5000 0.5000
F 0.1493 0.7460 0.7461
F 0.2617 0.6453 0.2539
F 0.3634 0.1578 0.7384